[1]
This record from Alexandria describes a relaxed Y2BeSiNi6 crystal. The functional is PBE.

- energy (eV per atom) = -5.95
- energy relative to the elements, uncorrected (eV/atom) = -0.272
- space group = Fm-3m (225)

Lattice parameters (Å, degrees): 5.940 5.940 5.940 60.00 60.00 90.00
Element x y z (fractional)
Y 0.250 0.750 0.500
Y 0.750 0.250 0.500
Be 0.500 0.500 0.000
Si 0.000 0.000 0.000
Ni 0.260 0.740 0.000
Ni 0.740 0.740 0.000
Ni 0.260 0.260 0.479
Ni 0.740 0.260 0.000
Ni 0.260 0.260 0.000
Ni 0.740 0.740 0.521



[2]
This record from Alexandria describes a relaxed YBeSi2Ni4 crystal. The functional is PBE.

- energy (eV per atom) = -6.14
- energy relative to the elements, uncorrected (eV/atom) = -0.624
- space group = R-3m (166)

Lattice parameters (Å, degrees): 3.876 3.876 8.310 76.51 76.51 60.00
Element x y z (fractional)
Y 0.000 0.000 0.000
Be 0.500 0.500 0.500
Si 0.762 0.762 0.715
Si 0.238 0.238 0.285
Ni 0.411 0.411 0.766
Ni 0.863 0.863 0.411
Ni 0.137 0.137 0.589
Ni 0.589 0.589 0.234